The following is a PBE calculation of NdTmGaIr after structural relaxation, from Alexandria via LeMat-Bulk.

Summary:
- magnetic moment (Bohr magnetons per cell) = 0.00
- raw total energy (eV per atom) = -5.974
- offset from the most stable computed form (eV/atom) = 0.0000
- formation enthalpy at 0 K (kJ/mol of atoms) = -66.8

Geometry as POSCAR:
```
NdTmGaIr
1.0
4.2142 0.0000 0.0000
0.0000 4.0920 0.0000
0.0000 0.0000 10.8448
Nd Tm Ga Ir
2 2 2 2
direct
0.0000 0.0000 0.0000 Nd
0.0000 0.5000 0.5000 Nd
0.5000 0.0000 0.7172 Tm
0.5000 0.5000 0.2172 Tm
0.5000 0.0000 0.4185 Ga
0.5000 0.5000 0.9185 Ga
0.0000 0.0000 0.2766 Ir
0.0000 0.5000 0.7766 Ir
```